Material: ScFe3H
Method: DFT, PBE
State: relaxed

Cell and atoms, written as POSCAR:
```
ScFe3H
1.0
4.5074 0.0000 0.0000
0.0000 4.5074 0.0000
0.0000 0.0000 4.5074
Sc Fe H
1 3 1
Direct
0.0000 0.0000 0.0000 Sc
0.0000 0.0000 0.5000 Fe
0.0000 0.5000 0.0000 Fe
0.5000 0.0000 0.0000 Fe
0.5000 0.5000 0.5000 H
```

Output
As for the magnetization: 6.2 μB per cell. The calculation puts the total energy at -4.949 eV/atom. The calculation puts the polymorph energy (0 for the lowest one) at 2061 meV per atom. As for the symmetry: Pm-3m.